1.
A crystal of Tl2ZnCo relaxed with PBEsol. Source: Alexandria, functional SCAN.

Formation energy, kcal/mol of atoms: 10.32
VASP energy, eV per atom: -43.44
Symmetry: R3m, No. 160
Calculated volume, Å³ per cell: 232.8

Unit cell a=3.182 b=3.182 c=26.546 alpha=90.00 beta=90.00 gamma=120.00
Fractional coordinates of all 12 atoms:
Tl  0.000  0.000  0.000
Tl  0.000  0.000  0.225
Tl  0.333  0.667  0.667
Tl  0.333  0.667  0.892
Tl  0.667  0.333  0.333
Tl  0.667  0.333  0.558
Zn  0.000  0.000  0.758
Zn  0.333  0.667  0.425
Zn  0.667  0.333  0.092
Co  0.000  0.000  0.485
Co  0.333  0.667  0.151
Co  0.667  0.333  0.818

2.
A crystal of TlZn2Co relaxed with PBEsol. Source: Alexandria, functional SCAN.

Formation energy, kcal/mol of atoms: 7.78
VASP energy, eV per atom: -28.84
Symmetry: P4/mmm, No. 123
Calculated volume, Å³ per cell: 59.1

Unit cell a=3.832 b=3.832 c=4.022 alpha=90.00 beta=90.00 gamma=90.00
Fractional coordinates of all 4 atoms:
Tl  0.000  0.000  0.000
Zn  0.000  0.500  0.500
Zn  0.500  0.000  0.500
Co  0.500  0.500  0.000

3.
A crystal of TlZn2Co2 relaxed with PBEsol. Source: Alexandria, functional SCAN.

Formation energy, kcal/mol of atoms: 9.26
VASP energy, eV per atom: -26.40
Symmetry: I4/mmm, No. 139
Calculated volume, Å³ per cell: 146.4

Unit cell a=3.579 b=3.579 c=11.435 alpha=90.00 beta=90.00 gamma=90.00
Fractional coordinates of all 10 atoms:
Tl  0.000  0.000  0.000
Tl  0.500  0.500  0.500
Zn  0.000  0.500  0.250
Zn  0.000  0.500  0.750
Zn  0.500  0.000  0.250
Zn  0.500  0.000  0.750
Co  0.000  0.000  0.401
Co  0.000  0.000  0.599
Co  0.500  0.500  0.099
Co  0.500  0.500  0.901

4.
A crystal of ZrTlCo2 relaxed with PBEsol. Source: Alexandria, functional SCAN.

Formation energy, kcal/mol of atoms: 5.22
VASP energy, eV per atom: -34.19
Symmetry: I-4m2, No. 119
Calculated volume, Å³ per cell: 121.3

Unit cell a=3.709 b=3.709 c=8.817 alpha=90.00 beta=90.00 gamma=90.00
Fractional coordinates of all 8 atoms:
Zr  0.000  0.000  0.000
Zr  0.500  0.500  0.500
Tl  0.000  0.500  0.750
Tl  0.500  0.000  0.250
Co  0.000  0.000  0.500
Co  0.000  0.500  0.250
Co  0.500  0.000  0.750
Co  0.500  0.500  0.000

5.
A crystal of ZrTlCo2 relaxed with PBEsol. Source: Alexandria, functional SCAN.

Formation energy, kcal/mol of atoms: 1.41
VASP energy, eV per atom: -34.36
Symmetry: P4mm, No. 99
Calculated volume, Å³ per cell: 64.0

Unit cell a=3.079 b=3.079 c=6.747 alpha=90.00 beta=90.00 gamma=90.00
Fractional coordinates of all 4 atoms:
Zr  0.000  0.000  0.000
Tl  0.500  0.500  0.654
Co  0.000  0.000  0.390
Co  0.500  0.500  0.242

6.
A crystal of Tm4Co3 relaxed with PBEsol. Source: Alexandria, functional SCAN.

Formation energy, kcal/mol of atoms: -3.13
VASP energy, eV per atom: -37.17
Symmetry: P-3, No. 147
Calculated volume, Å³ per cell: 402.4

Unit cell a=10.901 b=10.901 c=3.910 alpha=90.00 beta=90.00 gamma=120.00
Fractional coordinates of all 21 atoms:
Tm  0.024  0.778  0.250
Tm  0.135  0.514  0.251
Tm  0.222  0.246  0.250
Tm  0.246  0.024  0.750
Tm  0.380  0.865  0.251
Tm  0.486  0.620  0.251
Tm  0.514  0.380  0.749
Tm  0.620  0.135  0.749
Tm  0.754  0.976  0.250
Tm  0.778  0.754  0.750
Tm  0.865  0.486  0.749
Tm  0.976  0.222  0.750
Co  0.000  0.000  0.500
Co  0.155  0.719  0.748
Co  0.281  0.436  0.748
Co  0.333  0.667  0.752
Co  0.436  0.155  0.252
Co  0.564  0.845  0.748
Co  0.667  0.333  0.248
Co  0.719  0.564  0.252
Co  0.845  0.281  0.252

7.
A crystal of UCo relaxed with PBEsol. Source: Alexandria, functional SCAN.

Formation energy, kcal/mol of atoms: -2.83
VASP energy, eV per atom: -60.54
Symmetry: I2_13, No. 199
Calculated volume, Å³ per cell: 239.8

Unit cell a=6.213 b=6.213 c=6.213 alpha=90.00 beta=90.00 gamma=90.00
Fractional coordinates of all 16 atoms:
U  0.035  0.035  0.035
U  0.035  0.965  0.465
U  0.465  0.035  0.965
U  0.465  0.965  0.535
U  0.535  0.465  0.965
U  0.535  0.535  0.535
U  0.965  0.465  0.035
U  0.965  0.535  0.465
Co  0.202  0.298  0.702
Co  0.202  0.702  0.798
Co  0.298  0.298  0.298
Co  0.298  0.702  0.202
Co  0.702  0.202  0.298
Co  0.702  0.798  0.202
Co  0.798  0.202  0.702
Co  0.798  0.798  0.798

8.
A crystal of V3Co relaxed with PBEsol. Source: Alexandria, functional SCAN.

Formation energy, kcal/mol of atoms: -4.40
VASP energy, eV per atom: -17.63
Symmetry: Pm-3n, No. 223
Calculated volume, Å³ per cell: 96.6

Unit cell a=4.588 b=4.588 c=4.588 alpha=90.00 beta=90.00 gamma=90.00
Fractional coordinates of all 8 atoms:
V  0.000  0.250  0.500
V  0.000  0.750  0.500
V  0.250  0.500  0.000
V  0.500  0.000  0.250
V  0.500  0.000  0.750
V  0.750  0.500  0.000
Co  0.000  0.000  0.000
Co  0.500  0.500  0.500

9.
A crystal of V2Co9W relaxed with PBEsol. Source: Alexandria, functional SCAN.

Formation energy, kcal/mol of atoms: 0.66
VASP energy, eV per atom: -21.67
Symmetry: R3m, No. 160
Calculated volume, Å³ per cell: 127.7

Unit cell a=6.653 b=6.653 c=6.653 alpha=43.73 beta=43.73 gamma=43.73
Fractional coordinates of all 12 atoms:
V  0.000  0.000  0.000
V  0.218  0.218  0.218
Co  0.003  0.497  0.497
Co  0.235  0.718  0.718
Co  0.282  0.282  0.768
Co  0.282  0.768  0.282
Co  0.497  0.003  0.497
Co  0.497  0.497  0.003
Co  0.718  0.235  0.718
Co  0.718  0.718  0.235
Co  0.768  0.282  0.282
W  0.780  0.780  0.780

10.
A crystal of ZrVCo relaxed with PBEsol. Source: Alexandria, functional SCAN.

Formation energy, kcal/mol of atoms: -3.88
VASP energy, eV per atom: -22.00
Symmetry: Amm2, No. 38
Calculated volume, Å³ per cell: 174.0

Unit cell a=8.275 b=4.874 c=4.874 alpha=62.31 beta=90.00 gamma=90.00
Fractional coordinates of all 12 atoms:
Zr  0.180  0.000  0.000
Zr  0.301  0.336  0.336
Zr  0.699  0.336  0.336
Zr  0.820  0.000  0.000
V  0.000  0.521  0.521
V  0.500  0.332  0.835
V  0.500  0.835  0.332
V  0.500  0.840  0.840
Co  0.000  0.018  0.510
Co  0.000  0.510  0.018
Co  0.246  0.667  0.667
Co  0.754  0.667  0.667

11.
A crystal of Zr2VCo3 relaxed with PBEsol. Source: Alexandria, functional SCAN.

Formation energy, kcal/mol of atoms: -6.19
VASP energy, eV per atom: -22.07
Symmetry: R-3m, No. 166
Calculated volume, Å³ per cell: 82.4

Unit cell a=4.763 b=4.763 c=4.763 alpha=63.54 beta=63.54 gamma=63.54
Fractional coordinates of all 6 atoms:
Zr  0.126  0.126  0.126
Zr  0.874  0.874  0.874
V  0.500  0.500  0.500
Co  0.000  0.500  0.500
Co  0.500  0.000  0.500
Co  0.500  0.500  0.000

12.
A crystal of Co24W5 relaxed with PBEsol. Source: Alexandria, functional SCAN.

Formation energy, kcal/mol of atoms: 2.55
VASP energy, eV per atom: -26.23
Symmetry: I-43m, No. 217
Calculated volume, Å³ per cell: 322.9

Unit cell a=7.486 b=7.486 c=7.486 alpha=109.47 beta=109.47 gamma=109.47
Fractional coordinates of all 29 atoms:
Co  0.000  0.322  0.602
Co  0.000  0.602  0.322
Co  0.000  0.625  0.809
Co  0.000  0.809  0.625
Co  0.184  0.375  0.375
Co  0.191  0.191  0.816
Co  0.191  0.816  0.191
Co  0.280  0.678  0.678
Co  0.322  0.000  0.602
Co  0.322  0.602  0.000
Co  0.375  0.184  0.375
Co  0.375  0.375  0.184
Co  0.398  0.398  0.720
Co  0.398  0.720  0.398
Co  0.602  0.000  0.322
Co  0.602  0.322  0.000
Co  0.625  0.000  0.809
Co  0.625  0.809  0.000
Co  0.678  0.280  0.678
Co  0.678  0.678  0.280
Co  0.720  0.398  0.398
Co  0.809  0.000  0.625
Co  0.809  0.625  0.000
Co  0.816  0.191  0.191
W  0.000  0.000  0.000
W  0.000  0.000  0.366
W  0.000  0.366  0.000
W  0.366  0.000  0.000
W  0.634  0.634  0.634